DFT (PBE with a Hubbard U) results for a relaxed AcNiSe2O6 crystal.

Geometry as CIF:
```
data_AcNiSe2O6
_chemical_formula_sum 'Ac3 Ni3 Se6 O18'
_symmetry_space_group_name_H-M 'R -3'
_symmetry_Int_Tables_number 148
_symmetry_space_group_name_Hall '-R 3'
_cell_length_a 5.2760
_cell_length_b 5.2760
_cell_length_c 17.6070
_cell_angle_alpha 90.00
_cell_angle_beta 90.00
_cell_angle_gamma 120.00
loop_
_atom_site_label
_atom_site_type_symbol
_atom_site_fract_x
_atom_site_fract_y
_atom_site_fract_z
_atom_site_occupancy
Ac1 Ac 0.0000 0.0000 0.0000 1
Ni1 Ni 0.0000 0.0000 0.5000 1
Se1 Se 0.0000 0.0000 0.2006 1
O1 O 0.0034 0.5843 0.9156 1
```

=====

DFT (PBE with a Hubbard U) results for a relaxed Ac2SiNiO6 crystal.

Geometry as CIF:
```
data_Ac2SiNiO6
_chemical_formula_sum 'Ac4 Si2 Ni2 O12'
_symmetry_space_group_name_H-M 'C 1 2/m 1'
_symmetry_Int_Tables_number 12
_symmetry_space_group_name_Hall '-C 2y'
_cell_length_a 9.552
_cell_length_b 5.512
_cell_length_c 5.514
_cell_angle_alpha 90.00
_cell_angle_beta 125.26
_cell_angle_gamma 90.00
loop_
_atom_site_label
_atom_site_type_symbol
_atom_site_fract_x
_atom_site_fract_y
_atom_site_fract_z
_atom_site_occupancy
Ac1 Ac 0.250 0.000 0.250 1
Si1 Si 0.000 0.000 0.500 1
Ni1 Ni 0.000 0.500 0.000 1
O1 O 0.003 0.234 0.737 1
O2 O 0.233 0.000 0.727 1
```

=====

DFT (PBE with a Hubbard U) results for a relaxed SrAcNiO4 crystal.

Geometry as CIF:
```
data_SrAcNiO4
_chemical_formula_sum 'Sr2 Ac2 Ni2 O8'
_symmetry_space_group_name_H-M 'I 4 m m'
_symmetry_Int_Tables_number 107
_symmetry_space_group_name_Hall 'I 4 -2'
_cell_length_a 3.917
_cell_length_b 3.917
_cell_length_c 12.716
_cell_angle_alpha 90.00
_cell_angle_beta 90.00
_cell_angle_gamma 90.00
loop_
_atom_site_label
_atom_site_type_symbol
_atom_site_fract_x
_atom_site_fract_y
_atom_site_fract_z
_atom_site_occupancy
Sr1 Sr 0.000 0.000 0.000 1
Ac1 Ac 0.000 0.000 0.278 1
Ni1 Ni 0.000 0.000 0.633 1
O1 O 0.000 0.000 0.472 1
O2 O 0.000 0.000 0.801 1
O3 O 0.000 0.500 0.140 1
```

=====

DFT (PBE with a Hubbard U) results for a relaxed Ac2TcNiO6 crystal.

Geometry as CIF:
```
data_Ac2TcNiO6
_chemical_formula_sum 'Ac12 Tc6 Ni6 O36'
_symmetry_space_group_name_H-M 'R -3 m'
_symmetry_Int_Tables_number 166
_symmetry_space_group_name_Hall '-R 3 2"'
_cell_length_a 5.7025
_cell_length_b 5.7025
_cell_length_c 28.1924
_cell_angle_alpha 90.00
_cell_angle_beta 90.00
_cell_angle_gamma 120.00
loop_
_atom_site_label
_atom_site_type_symbol
_atom_site_fract_x
_atom_site_fract_y
_atom_site_fract_z
_atom_site_occupancy
Ac1 Ac 0.0000 0.0000 0.1270 1
Ac2 Ac 0.0000 0.0000 0.2849 1
Tc1 Tc 0.0000 0.0000 0.0000 1
Tc2 Tc 0.0000 0.0000 0.5000 1
Ni1 Ni 0.0000 0.0000 0.4105 1
O1 O 0.0059 0.5030 0.8744 1
O2 O 0.0086 0.5043 0.7091 1
```

=====

DFT (PBE with a Hubbard U) results for a relaxed Ac2TcNiO8 crystal.

Geometry as CIF:
```
data_Ac2TcNiO8
_chemical_formula_sum 'Ac2 Tc1 Ni1 O8'
_symmetry_space_group_name_H-M 'P -1'
_symmetry_Int_Tables_number 2
_symmetry_space_group_name_Hall '-P 1'
_cell_length_a 4.524
_cell_length_b 5.388
_cell_length_c 7.103
_cell_angle_alpha 83.97
_cell_angle_beta 87.68
_cell_angle_gamma 82.43
loop_
_atom_site_label
_atom_site_type_symbol
_atom_site_fract_x
_atom_site_fract_y
_atom_site_fract_z
_atom_site_occupancy
Ac1 Ac 0.200 0.024 0.246 1
Tc1 Tc 0.500 0.500 0.500 1
Ni1 Ni 0.500 0.500 0.000 1
O1 O 0.186 0.737 0.559 1
O2 O 0.306 0.816 0.942 1
O3 O 0.307 0.234 0.612 1
O4 O 0.316 0.490 0.246 1
```

=====

DFT (PBE with a Hubbard U) results for a relaxed AcTc2NiO8 crystal.

Geometry as CIF:
```
data_AcTc2NiO8
_chemical_formula_sum 'Ac3 Tc6 Ni3 O24'
_symmetry_space_group_name_H-M 'R -3'
_symmetry_Int_Tables_number 148
_symmetry_space_group_name_Hall '-R 3'
_cell_length_a 5.1552
_cell_length_b 5.1552
_cell_length_c 20.1056
_cell_angle_alpha 90.00
_cell_angle_beta 90.00
_cell_angle_gamma 120.00
loop_
_atom_site_label
_atom_site_type_symbol
_atom_site_fract_x
_atom_site_fract_y
_atom_site_fract_z
_atom_site_occupancy
Ac1 Ac 0.0000 0.0000 0.0000 1
Tc1 Tc 0.0000 0.0000 0.2293 1
Ni1 Ni 0.0000 0.0000 0.5000 1
O1 O 0.0000 0.0000 0.3205 1
O2 O 0.0132 0.6953 0.1102 1
```

=====

DFT (PBE with a Hubbard U) results for a relaxed AcTcNiO6 crystal.

Geometry as CIF:
```
data_AcTcNiO6
_chemical_formula_sum 'Ac1 Tc1 Ni1 O6'
_symmetry_space_group_name_H-M 'P 3 1 2'
_symmetry_Int_Tables_number 149
_symmetry_space_group_name_Hall 'P 3 2'
_cell_length_a 5.2725
_cell_length_b 5.2725
_cell_length_c 5.2554
_cell_angle_alpha 90.00
_cell_angle_beta 90.00
_cell_angle_gamma 120.00
loop_
_atom_site_label
_atom_site_type_symbol
_atom_site_fract_x
_atom_site_fract_y
_atom_site_fract_z
_atom_site_occupancy
Ac1 Ac 0.0000 0.0000 0.0000 1
Tc1 Tc 0.6667 0.3333 0.5000 1
Ni1 Ni 0.3333 0.6667 0.5000 1
O1 O 0.3895 0.0210 0.7071 1
```

=====

DFT (PBE with a Hubbard U) results for a relaxed AcNiTeO6 crystal.

Geometry as CIF:
```
data_AcNiTeO6
_chemical_formula_sum 'Ac2 Ni2 Te2 O12'
_symmetry_space_group_name_H-M 'C 1 2 1'
_symmetry_Int_Tables_number 5
_symmetry_space_group_name_Hall 'C 2y'
_cell_length_a 5.303
_cell_length_b 8.831
_cell_length_c 5.423
_cell_angle_alpha 90.00
_cell_angle_beta 91.55
_cell_angle_gamma 90.00
loop_
_atom_site_label
_atom_site_type_symbol
_atom_site_fract_x
_atom_site_fract_y
_atom_site_fract_z
_atom_site_occupancy
Ac1 Ac 0.000 0.000 0.000 1
Ni1 Ni 0.000 0.672 0.500 1
Te1 Te 0.000 0.336 0.500 1
O1 O 0.121 0.508 0.701 1
O2 O 0.177 0.199 0.720 1
O3 O 0.191 0.820 0.693 1
```

=====

The evaluated calculated total energy for the records listed, in turn: -5.6503, -7.3724, -6.3432, -7.3752, -7.0711, -7.2090, -7.0376, -6.1244 eV per atom.